## ScOsC (GGA-PBE)

Data for a geometry-optimized ScOsC structure.

```
12
Lattice="4.076 -2.942 0.000 4.076 2.942 0.000 0.000 0.000 7.322" Properties=species:S:1:pos:R:3 pbc="T T T"
Sc 1.622 0.000 0.000
Sc 2.454 0.000 3.661
Sc 5.698 0.000 3.661
Sc 6.529 0.000 0.000
Os 4.076 2.184 4.887
Os 4.076 0.758 1.226
Os 4.076 -0.758 6.095
Os 4.076 -2.184 2.435
C 4.076 1.676 2.948
C 4.076 1.265 6.609
C 4.076 -1.265 0.713
C 4.076 -1.676 4.374
```

## Properties
Calculated volume ... 14.63 Å³ per atom
Crystal system ... orthorhombic
Excess energy over the best structure of this formula in the dataset ... 84 meV/atom
Space-group type ... Cmce, No. 64
Formation enthalpy at 0 K ... -0.0817 eV per atom
Total magnetization ... 0.00 Bohr magnetons per cell

## LiEr2Ga2Rh5 (GGA-PBE)

Data for a geometry-optimized LiEr2Ga2Rh5 structure.

```
20
Lattice="9.744 0.000 0.000 0.000 9.744 0.000 0.000 0.000 3.494" Properties=species:S:1:pos:R:3 pbc="T T T"
Li 0.000 0.000 0.000
Li 4.872 4.872 0.000
Er 1.678 3.194 0.000
Er 3.194 8.066 0.000
Er 6.549 1.678 0.000
Er 8.066 6.549 0.000
Ga 1.242 6.114 0.000
Ga 3.629 1.242 0.000
Ga 6.114 8.501 0.000
Ga 8.501 3.629 0.000
Rh 0.000 4.872 1.747
Rh 0.669 7.796 1.747
Rh 1.948 0.669 1.747
Rh 2.924 5.540 1.747
Rh 4.203 2.924 1.747
Rh 4.872 0.000 1.747
Rh 5.540 6.819 1.747
Rh 6.819 4.203 1.747
Rh 7.796 9.075 1.747
Rh 9.075 1.948 1.747
```

## Properties
Calculated volume ... 16.59 Å³ per atom
Crystal system ... tetragonal
Space-group type ... P4/mbm, No. 127
Formation enthalpy at 0 K ... -0.6702 eV per atom
Total magnetization ... 0.00 Bohr magnetons per cell

## Sc2NiRhW (GGA-PBE)

Data for a geometry-optimized Sc2NiRhW structure.

```
5
Lattice="4.983 0.000 0.000 0.000 4.983 0.000 0.000 0.000 4.376" Properties=species:S:1:pos:R:3 pbc="T T T"
Sc 0.000 2.491 0.000
Sc 2.491 0.000 0.000
Ni 0.000 0.000 2.188
Rh 2.491 2.491 2.188
W 0.000 0.000 0.000
```

## Properties
Calculated volume ... 21.73 Å³ per atom
Crystal system ... tetragonal
Space-group type ... P4/mmm, No. 123
Formation enthalpy at 0 K ... 0.9809 eV per atom
Total magnetization ... 0.01 Bohr magnetons per cell

## Ca3PdAu8 (GGA-PBE)

Data for a geometry-optimized Ca3PdAu8 structure.

```
12
Lattice="2.775 1.602 9.436 -2.775 1.602 9.436 0.000 -3.204 9.436" Properties=species:S:1:pos:R:3 pbc="T T T"
Ca 0.000 0.000 0.000
Ca 0.000 0.000 3.711
Ca 0.000 0.000 14.840
Pd 0.000 0.000 18.142
Au -1.388 -0.801 11.429
Au 0.000 -1.592 6.740
Au -1.379 0.796 6.740
Au 0.000 0.000 9.084
Au 1.379 0.796 6.740
Au 1.388 -0.801 11.429
Au 0.000 1.602 11.429
Au 0.000 0.000 23.237
```

## Properties
Calculated volume ... 20.98 Å³ per atom
Crystal system ... trigonal
Space-group type ... R3m, No. 160
Formation enthalpy at 0 K ... -0.5203 eV per atom
Total magnetization ... 0.00 Bohr magnetons per cell

## ZnMoRh2 (GGA-PBE)

Data for a geometry-optimized ZnMoRh2 structure.

```
4
Lattice="2.845 -3.671 0.000 2.845 3.671 0.000 0.000 0.000 2.783" Properties=species:S:1:pos:R:3 pbc="T T T"
Zn 0.000 0.000 0.000
Mo 2.845 0.000 0.000
Rh 1.423 1.835 1.392
Rh 1.423 -1.835 1.392
```

## Properties
Calculated volume ... 14.53 Å³ per atom
Crystal system ... orthorhombic
Space-group type ... Cmmm, No. 65
Formation enthalpy at 0 K ... -0.1467 eV per atom
Total magnetization ... 0.00 Bohr magnetons per cell

## K2ZrSi (GGA-PBE)

Data for a geometry-optimized K2ZrSi structure.

```
4
Lattice="3.047 0.000 0.000 0.000 3.047 0.000 0.000 0.000 12.406" Properties=species:S:1:pos:R:3 pbc="T T T"
K 0.000 0.000 2.642
K 0.000 0.000 9.764
Zr 1.523 1.523 6.203
Si 1.523 1.523 0.000
```

## Properties
Calculated volume ... 28.79 Å³ per atom
Crystal system ... tetragonal
ΔE_f (raw) ... 0.782 eV/atom
Space-group type ... P4/mmm, No. 123
Total magnetization ... 0.00 Bohr magnetons per cell